Material: SrGdAgTeS2
Method: DFT, GGA-PBE
State: relaxed

Results
VASP energy (eV per atom): -4.86
Volume (Å³ per atom): 27.592
Total magnetization (μB per cell): 0.01

Cell: 4.1049 14.5217 11.1088 Å, 90.00 90.00 90.00°
Space group Cmcm (No. 63)
One atom of each set of equivalent atoms:
Sr 0.0000 0.2074 0.2500 (multiplicity 4)
Gd 0.0000 0.0000 0.0000 (multiplicity 4)
Ag 0.0000 0.4863 0.7500 (multiplicity 4)
Te 0.0000 0.1135 0.7500 (multiplicity 4)
S 0.0000 0.3788 0.5712 (multiplicity 8)